No. 1
The following is a PBE calculation of crystalline K3Tb2PaS6 at its relaxed geometry, from Alexandria via LeMat-Bulk.

Cell and atoms, written as POSCAR:
```
K3Tb2PaS6
1.0
7.021 -0.001 0.000
-3.509 6.081 0.000
-1.171 -2.027 7.402
Pa S Tb K
1 6 2 3
direct
0.000 0.000 0.000 Pa
0.739 0.739 0.205 S
0.261 0.261 0.795 S
0.932 0.602 0.795 S
0.398 0.068 0.205 S
0.602 0.932 0.795 S
0.068 0.398 0.205 S
0.333 0.667 0.000 Tb
0.667 0.333 0.000 Tb
0.500 0.500 0.500 K
0.168 0.832 0.500 K
0.832 0.168 0.500 K
```

electronic total energy: -5.630 eV/atom
E_form (uncorrected): -1729 meV/atom
V: 316.0 Å³ per cell
space-group type: C2/m, No. 12
density: 4.512 Mg/m³

No. 2
The following is a PBE calculation of crystalline LiReSi2 at its relaxed geometry, from Alexandria via LeMat-Bulk.

Cell and atoms, written as POSCAR:
```
LiReSi2
1.0
4.933 0.000 -1.170
0.000 4.610 0.000
-0.237 0.000 9.793
Li Si Re
4 8 4
direct
0.651 0.687 0.858 Li
0.849 0.687 0.642 Li
0.151 0.313 0.358 Li
0.349 0.313 0.142 Li
0.673 0.330 0.413 Si
0.173 0.670 0.913 Si
0.827 0.330 0.087 Si
0.936 0.797 0.373 Si
0.064 0.203 0.627 Si
0.436 0.203 0.873 Si
0.327 0.670 0.587 Si
0.564 0.797 0.127 Si
0.947 0.165 0.864 Re
0.553 0.165 0.636 Re
0.053 0.835 0.136 Re
0.447 0.835 0.364 Re
```

electronic total energy: -6.400 eV/atom
E_form (uncorrected): -98 meV/atom
V: 221.4 Å³ per cell
space-group type: P2/c, No. 13
density: 7.479 Mg/m³
distance to the lowest polymorph of the same formula: 0.20 eV/f.u.

No. 3
The following is a PBE calculation of crystalline Ba5Al2In2IrClO13 at its relaxed geometry, from Alexandria via LeMat-Bulk.

Cell and atoms, written as POSCAR:
```
Ba5Al2In2IrClO13
1.0
-4.648 -3.171 1.911
5.276 -2.626 -0.766
6.221 5.445 24.172
Ba O Al Ir In Cl
10 26 4 2 4 2
direct
0.667 0.333 0.461 Ba
0.333 0.667 0.132 Ba
0.667 0.333 0.868 Ba
0.333 0.667 0.539 Ba
0.000 0.000 0.750 Ba
0.333 0.667 0.368 Ba
0.000 0.000 0.250 Ba
0.667 0.333 0.039 Ba
0.333 0.667 0.961 Ba
0.667 0.333 0.632 Ba
0.691 0.845 0.452 O
0.691 0.845 0.048 O
0.155 0.309 0.452 O
0.155 0.845 0.452 O
0.653 0.827 0.656 O
0.827 0.173 0.156 O
0.347 0.173 0.344 O
0.347 0.173 0.156 O
0.827 0.173 0.344 O
0.309 0.155 0.548 O
0.827 0.653 0.156 O
0.667 0.333 0.250 O
0.845 0.155 0.952 O
0.845 0.691 0.952 O
0.309 0.155 0.952 O
0.173 0.827 0.844 O
0.173 0.347 0.844 O
0.827 0.653 0.344 O
0.155 0.309 0.048 O
0.845 0.691 0.548 O
0.173 0.347 0.656 O
0.845 0.155 0.548 O
0.173 0.827 0.656 O
0.155 0.845 0.048 O
0.653 0.827 0.844 O
0.333 0.667 0.750 O
0.333 0.667 0.818 Al
0.333 0.667 0.682 Al
0.667 0.333 0.318 Al
0.667 0.333 0.182 Al
0.000 0.000 0.500 Ir
0.000 0.000 0.000 Ir
0.000 0.000 0.888 In
0.000 0.000 0.612 In
0.000 0.000 0.388 In
0.000 0.000 0.112 In
0.333 0.667 0.250 Cl
0.667 0.333 0.750 Cl
```

electronic total energy: -6.367 eV/atom
E_form (uncorrected): -2295 meV/atom
V: 781.3 Å³ per cell
space-group type: P6_3/mmc, No. 194
density: 5.976 Mg/m³

No. 4
The following is a PBE calculation of crystalline SrSn12Ir6 at its relaxed geometry, from Alexandria via LeMat-Bulk.

Cell and atoms, written as POSCAR:
```
SrSn12Ir6
1.0
7.944 0.134 0.188
-1.840 7.729 0.188
-1.840 -2.370 7.360
Sn Ir Sr
12 6 1
direct
0.467 0.181 0.467 Sn
0.533 0.819 0.533 Sn
0.181 0.467 0.467 Sn
0.819 0.533 0.533 Sn
0.869 0.500 0.131 Sn
0.131 0.869 0.500 Sn
0.131 0.500 0.869 Sn
0.500 0.131 0.869 Sn
0.467 0.467 0.181 Sn
0.500 0.869 0.131 Sn
0.533 0.533 0.819 Sn
0.869 0.131 0.500 Sn
0.232 0.232 0.654 Ir
0.232 0.654 0.232 Ir
0.768 0.768 0.346 Ir
0.346 0.768 0.768 Ir
0.768 0.346 0.768 Ir
0.654 0.232 0.232 Ir
0.000 0.000 0.000 Sr
```

electronic total energy: -5.538 eV/atom
V: 460.7 Å³ per cell
space-group type: R-3m, No. 166
density: 9.607 Mg/m³
ΔH_f (0 K): -11.89 kJ per mole of atoms

No. 5
The following is a PBE calculation of crystalline Fe3GeH at its relaxed geometry, from Alexandria via LeMat-Bulk.

Cell and atoms, written as POSCAR:
```
Fe3GeH
1.0
3.668 0.000 0.000
0.000 3.668 0.000
0.000 0.000 3.668
Fe Ge H
3 1 1
direct
0.000 0.500 0.000 Fe
0.500 0.000 0.000 Fe
0.000 0.000 0.500 Fe
0.500 0.500 0.500 Ge
0.000 0.000 0.000 H
```

electronic total energy: -6.722 eV/atom
V: 49.4 Å³ per cell
space-group type: Pm-3m, No. 221
density: 8.114 Mg/m³
distance to the lowest polymorph of the same formula: 0.00 eV/f.u.

No. 6
The following is a PBE calculation of crystalline YTh2Sc at its relaxed geometry, from Alexandria via LeMat-Bulk.

Cell and atoms, written as POSCAR:
```
YTh2Sc
1.0
3.529 0.000 0.000
1.765 3.056 0.000
1.765 1.019 11.197
Sc Th Y
1 2 1
direct
0.000 0.000 0.000 Sc
0.747 0.747 0.760 Th
0.253 0.253 0.240 Th
0.500 0.500 0.500 Y
```

electronic total energy: -6.857 eV/atom
V: 120.8 Å³ per cell
space-group type: R-3m, No. 166
density: 8.221 Mg/m³
ΔH_f (0 K): 5.04 kJ per mole of atoms
distance to the lowest polymorph of the same formula: 0.05 eV/f.u.

No. 7
The following is a PBE calculation of crystalline PrTlP at its relaxed geometry, from Alexandria via LeMat-Bulk.

Cell and atoms, written as POSCAR:
```
PrTlP
1.0
-0.365 -3.877 -6.094
2.764 -4.600 2.761
-7.082 -2.895 2.266
Tl Pr P
4 4 4
direct
0.751 0.638 0.250 Tl
0.251 0.362 0.250 Tl
0.249 0.362 0.750 Tl
0.749 0.638 0.750 Tl
0.250 0.827 0.500 Pr
0.750 0.173 0.000 Pr
0.750 0.173 0.500 Pr
0.250 0.827 0.000 Pr
0.500 0.001 0.750 P
0.500 0.999 0.250 P
0.000 0.999 0.750 P
0.000 0.001 0.250 P
```

electronic total energy: -4.905 eV/atom
V: 348.3 Å³ per cell
space-group type: Pbcm, No. 57
density: 7.176 Mg/m³
ΔH_f (0 K): -69.46 kJ per mole of atoms

No. 8
The following is a PBE calculation of crystalline ReSe5 at its relaxed geometry, from Alexandria via LeMat-Bulk.

Cell and atoms, written as POSCAR:
```
ReSe5
1.0
-2.642 -1.338 0.844
1.580 -2.139 1.553
-0.386 7.721 11.028
Se Re
5 1
direct
0.500 0.500 0.362 Se
0.500 0.500 0.638 Se
0.000 0.000 0.500 Se
0.000 0.000 0.116 Se
0.000 0.000 0.884 Se
0.500 0.500 0.000 Re
```

electronic total energy: -4.611 eV/atom
E_form (uncorrected): 367 meV/atom
V: 127.7 Å³ per cell
space-group type: P4/mmm, No. 123
density: 7.555 Mg/m³
distance to the lowest polymorph of the same formula: 1.20 eV/f.u.